Density functional theory data (PBE-GGA) for a geometry-optimized Zn5P structure.

Properties
D(E_F): 1.4 states/eV/f.u.
DFT formation energy: 0.1265 eV/atom
Energy: -22.041 eV per cell
Excess energy over the best structure of this formula in the dataset: 67.3 meV/atom

Unit cell a=3.9816 b=11.7687 c=3.9583 alpha=90.00 beta=90.00 gamma=90.00
Space group Cmmm (No. 65)
Asymmetric unit:
Zn 0.0000 0.0000 0.0000
Zn 0.0000 0.1686 0.5000
Zn 0.0000 0.3302 0.0000
P 0.0000 0.5000 0.5000